Run a
Compound: Ta2Mo5
Source: Alexandria
Functional: meta-GGA SCAN
Structure: PBEsol geometry

```
Ta2Mo5
1.0
9.0761 -2.2313 0.0000
9.0761 2.2313 0.0000
-0.2789 0.0000 2.7412
Ta Mo
2 5
Direct
0.1419 0.1419 0.4270 Ta
0.8581 0.8581 0.5730 Ta
0.0000 0.0000 0.0000 Mo
0.2857 0.2857 0.8671 Mo
0.4293 0.4293 0.2822 Mo
0.5707 0.5707 0.7178 Mo
0.7143 0.7143 0.1329 Mo
```

space-group type = C2/m



Run b
Compound: Ta2Mo5
Source: Alexandria
Functional: meta-GGA SCAN
Structure: PBEsol geometry

```
Ta2Mo5
1.0
-1.5774 1.5774 11.1725
1.5774 -1.5774 11.1725
1.5774 1.5774 -11.1725
Ta Mo
2 5
Direct
0.2112 0.2112 0.0000 Ta
0.7888 0.7888 0.0000 Ta
0.0699 0.0699 0.0000 Mo
0.3611 0.3611 0.0000 Mo
0.5000 0.5000 0.0000 Mo
0.6389 0.6389 0.0000 Mo
0.9301 0.9301 0.0000 Mo
```

space-group type = I4/mmm



Run c
Compound: Ta2Mo5
Source: Alexandria
Functional: meta-GGA SCAN
Structure: PBEsol geometry

```
Ta2Mo5
1.0
2.7537 0.0000 0.0000
-0.9248 6.8156 0.0000
-0.8996 -3.4007 5.9169
Ta Mo
2 5
Direct
0.2082 0.3546 0.2818 Ta
0.7918 0.6454 0.7182 Ta
0.0725 0.7894 0.4282 Mo
0.3607 0.9273 0.1449 Mo
0.5000 0.5000 0.0000 Mo
0.6393 0.0727 0.8551 Mo
0.9275 0.2106 0.5718 Mo
```

space-group type = P-1



Computed relative energies in units of eV/atom: run a 0.000; run b 0.023; run c 0.012



Run a
Compound: Ta2Mo5
Source: Alexandria
Functional: meta-GGA SCAN
Structure: PBEsol geometry

```
Ta2Mo5
1.0
2.2436 1.2954 6.3645
-2.2436 1.2954 6.3645
0.0000 -2.5907 6.3645
Ta Mo
2 5
Direct
0.1413 0.1413 0.1413 Ta
0.8587 0.8587 0.8587 Ta
0.0000 0.0000 0.0000 Mo
0.2868 0.2868 0.2868 Mo
0.4275 0.4275 0.4275 Mo
0.5725 0.5725 0.5725 Mo
0.7132 0.7132 0.7132 Mo
```

space-group type = R-3m



Run b
Compound: Ta2Mo5
Source: Alexandria
Functional: meta-GGA SCAN
Structure: PBEsol geometry

```
Ta2Mo5
1.0
0.0000 2.2569 15.5374
1.5862 0.0000 15.5374
1.5862 2.2569 0.0000
Ta Mo
2 5
Direct
0.0728 0.0728 0.9272 Ta
0.9272 0.9272 0.0728 Ta
0.2151 0.2151 0.7849 Mo
0.3545 0.3545 0.6455 Mo
0.5000 0.5000 0.5000 Mo
0.6455 0.6455 0.3545 Mo
0.7849 0.7849 0.2151 Mo
```

space-group type = Fmmm



Computed relative energies in units of eV/atom: run a 0.000; run b 0.023



Run a
Compound: TaMo7
Source: Alexandria
Functional: meta-GGA SCAN
Structure: PBEsol geometry

```
TaMo7
1.0
5.2103 0.0000 0.0000
0.0000 4.4449 0.0000
-0.9524 0.0000 5.3634
Ta Mo
1 7
Direct
0.0000 0.0000 0.0000 Ta
0.0000 0.0000 0.5000 Mo
0.2491 0.5000 0.3742 Mo
0.2528 0.5000 0.8736 Mo
0.4966 0.0000 0.7482 Mo
0.5034 0.0000 0.2518 Mo
0.7472 0.5000 0.1264 Mo
0.7509 0.5000 0.6258 Mo
```

space-group type = P2/m



Run b
Compound: TaMo7
Source: Alexandria
Functional: meta-GGA SCAN
Structure: PBEsol geometry

```
TaMo7
1.0
-3.1448 3.1448 3.1448
3.1448 -3.1448 3.1448
3.1448 3.1448 -3.1448
Ta Mo
1 7
Direct
0.0000 0.0000 0.0000 Ta
0.0000 0.0000 0.5000 Mo
0.0000 0.5000 0.0000 Mo
0.0000 0.5000 0.5000 Mo
0.5000 0.0000 0.0000 Mo
0.5000 0.0000 0.5000 Mo
0.5000 0.5000 0.0000 Mo
0.5000 0.5000 0.5000 Mo
```

space-group type = Im-3m



Computed relative energies in units of eV/atom: run a 0.005; run b 0.000